{
  "formula": "HfMoRu",
  "functional": "GGA-PBE",
  "state": "optimized geometry",
  "lattice_angstrom": [[3.1221, 0.0000, 0.0000], [0.0000, 3.1221, 0.0000], [0.0000, 0.0000, 22.6258]],
  "species": ["Hf", "Hf", "Hf", "Hf", "Mo", "Mo", "Mo", "Mo", "Ru", "Ru", "Ru", "Ru"],
  "fractional_positions": [[0.0000, 0.0000, 0.0713], [0.0000, 0.0000, 0.9287], [0.5000, 0.5000, 0.4287], [0.5000, 0.5000, 0.5713], [0.0000, 0.0000, 0.2191], [0.0000, 0.0000, 0.7809], [0.5000, 0.5000, 0.2809], [0.5000, 0.5000, 0.7191], [0.0000, 0.0000, 0.3580], [0.0000, 0.0000, 0.6420], [0.5000, 0.5000, 0.1420], [0.5000, 0.5000, 0.8580]],
  "dft_energy_ev_per_atom": -9.970,
  "crystal_system": "tetragonal",
  "de_polymorph_ev_per_fu": 1.25,
  "formation_enthalpy_0k_kj_per_mol_fu": 15,
  "sg": "I4/mmm, No. 139"
}